Here is a relaxed BiAsI2 crystal from Alexandria. Energies are from PBE.

Structure (POSCAR):
```
BiAsI2
1.0
0.000 3.902 3.902
3.902 0.000 3.902
3.902 3.902 0.000
Bi As I
1 1 2
direct
0.000 0.000 0.000 Bi
0.500 0.500 0.500 As
0.250 0.250 0.250 I
0.750 0.750 0.750 I
```

The raw total energy comes out at -2.412 eV/atom. The energy above the most stable polymorph in this dataset comes out at 75 meV per atom.